Compound: UBeSe
Source: Alexandria
Functional: PBE-GGA
Structure: relaxed

Cell lengths 6.350, 3.666, 11.264 Å; angles 90.00, 96.02, 90.00 degrees
Space group C2/m (No. 12)
Asymmetric unit:
U 0.178 0.000 0.063 [4 per cell]
Be 0.048 0.500 0.258 [4 per cell]
Se 0.226 0.000 0.320 [4 per cell]

The value obtained for the total energy is -19.50 eV/f.u.